No. 1
## AcLaOs (PBE-GGA)

Data for a relaxed AcLaOs crystal.

distance to the lowest polymorph of the same formula = 0.000 eV/atom
energy of formation from the pure elements = 0.765 eV/atom
DFT total energy = -0.4400 Ry per atom

a = 7.023 Å, b = 7.023 Å, c = 7.023 Å
α = 90.00°, β = 90.00°, γ = 90.00°
Space group F-43m (No. 216)
Inequivalent atoms, fractional coordinates:
Ac1 0.000 0.000 0.000 [4 per cell]
La1 0.250 0.250 0.250 [4 per cell]
Os1 0.000 0.000 0.500 [4 per cell]

***

No. 2
## AcLaPd (PBE-GGA)

Data for a relaxed AcLaPd crystal.

distance to the lowest polymorph of the same formula = 0.000 eV/atom
energy of formation from the pure elements = -0.371 eV/atom
DFT total energy = -0.3753 Ry per atom

a = 7.353 Å, b = 7.353 Å, c = 7.353 Å
α = 90.00°, β = 90.00°, γ = 90.00°
Space group F-43m (No. 216)
Inequivalent atoms, fractional coordinates:
Ac1 0.000 0.000 0.000 [4 per cell]
La1 0.000 0.000 0.500 [4 per cell]
Pd1 0.250 0.250 0.250 [4 per cell]

***

No. 3
## AcLaPm (PBE-GGA)

Data for a relaxed AcLaPm crystal.

distance to the lowest polymorph of the same formula = 0.000 eV/atom
energy of formation from the pure elements = 0.618 eV/atom
DFT total energy = -0.2920 Ry per atom

a = 8.122 Å, b = 8.122 Å, c = 8.122 Å
α = 90.00°, β = 90.00°, γ = 90.00°
Space group F-43m (No. 216)
Inequivalent atoms, fractional coordinates:
Ac1 0.000 0.000 0.000 [4 per cell]
La1 0.000 0.000 0.500 [4 per cell]
Pm1 0.250 0.250 0.250 [4 per cell]